This record from Alexandria describes crystalline Li3Bi2P3O12 at its relaxed geometry. The functional is PBE.

Properties
N(E_F)	0.0	states/eV/cell
excess energy over the best structure of this formula in the dataset	0.0015	eV per atom
V	1712	Å³ per cell

```
data_Li3Bi2P3O12
_space_group_name_H-M_alt 'R -3'
_space_group_IT_number 148
_space_group_name_Hall '-R 3'
_cell_length_a 8.9182
_cell_length_b 8.9182
_cell_length_c 24.8585
_cell_angle_alpha 90.00
_cell_angle_beta 90.00
_cell_angle_gamma 120.00
loop_
_atom_site_label
_atom_site_fract_x
_atom_site_fract_y
_atom_site_fract_z
Li1 0.0187 0.7114 0.0452
Bi1 0.0000 0.0000 0.1527
Bi2 0.0000 0.0000 0.3444
P1 0.0033 0.3090 0.7450
O1 0.0226 0.2154 0.7937
O2 0.0452 0.4820 0.3621
O3 0.0834 0.5255 0.0617
O4 0.0835 0.5047 0.7561
```